The following is a DFT calculation (PBE) of a relaxed structure of Pm3Sm3Cu4.

It has space group Amm2 (No. 38), with a = 3.787 Å, b = 11.452 Å, c = 11.495 Å, α = 90.00°, β = 90.00° and γ = 90.00°. The distinct sites, in fractional coordinates, are Pm at (0.000, 0.000, 0.000), Pm at (0.500, 0.247, 0.090), Sm at (0.000, 0.000, 0.670), Sm at (0.000, 0.165, 0.340), Cu at (0.500, 0.000, 0.219), Cu at (0.500, 0.000, 0.458) and Cu at (0.500, 0.120, 0.835).

Its formation energy is -0.112 eV/atom.